First-principles (PBE) data for an optimized crystal structure of LiPrIn3, as listed in the Alexandria database.

Properties
SG	No. 194
DFT formation energy	-0.307	eV per atom
total magnetization	0.00	Bohr magnetons per cell
energy	-32.88	eV/cell

a b c (Å): 6.8947 6.8947 6.0354
angles (deg): 90.00 90.00 120.00
With the nearest neighbours (Å) after each atom.
Positions (direct):
1 Li 0.0000 0.0000 0.0000  6 In 2.71, 2 Li 3.02
2 Li 0.0000 0.0000 0.5000  6 In 2.71, 2 Li 3.02
3 Pr 0.3333 0.6667 0.2500  12 In 3.46-3.48
4 Pr 0.6667 0.3333 0.7500  12 In 3.46-3.48
5 In 0.1881 0.3762 0.7500  2 Li 2.71, 2 In 3.00
6 In 0.1881 0.8119 0.7500  2 Li 2.71, 2 In 3.00
7 In 0.3762 0.1881 0.2500  2 Li 2.71, 2 In 3.00
8 In 0.6238 0.8119 0.7500  2 Li 2.71, 2 In 3.00
9 In 0.8119 0.1881 0.2500  2 Li 2.71, 2 In 3.00
10 In 0.8119 0.6238 0.2500  2 Li 2.71, 2 In 3.00

***

First-principles (PBE) data for an optimized crystal structure of LiPr6In2, as listed in the Alexandria database.

Properties
SG	No. 12
DFT formation energy	0.074	eV per atom
total magnetization	0.01	Bohr magnetons per cell
energy	-35.41	eV/cell

a b c (Å): 9.1536 9.1536 5.1718
angles (deg): 106.27 106.27 51.48
With the nearest neighbours (Å) after each atom.
Positions (direct):
1 Li 0.0000 0.0000 0.0000  8 Pr 3.25-3.27
2 Pr 0.0849 0.5867 0.8357  1 Li 3.25, 3 In 3.27-3.31
3 Pr 0.2525 0.7475 0.5000  2 In 3.27, 2 Li 3.27, 4 Pr 3.64-3.65
4 Pr 0.4133 0.9151 0.1643  1 Li 3.25, 3 In 3.27-3.31
5 Pr 0.5867 0.0849 0.8357  1 Li 3.25, 3 In 3.27-3.31
6 Pr 0.7475 0.2525 0.5000  2 In 3.27, 2 Li 3.27, 4 Pr 3.64-3.65
7 Pr 0.9151 0.4133 0.1643  1 Li 3.25, 3 In 3.27-3.31
8 In 0.3336 0.3336 0.3336  8 Pr 3.27-3.31
9 In 0.6664 0.6664 0.6664  8 Pr 3.27-3.31

***

First-principles (PBE) data for an optimized crystal structure of LiPr5In6, as listed in the Alexandria database.

Properties
SG	No. 65
DFT formation energy	-0.451	eV per atom
total magnetization	0.00	Bohr magnetons per cell
energy	-47.65	eV/cell

a b c (Å): 8.5869 8.5869 7.7599
angles (deg): 90.00 90.00 143.23
With the nearest neighbours (Å) after each atom.
Positions (direct):
1 Li 0.0000 0.0000 0.0000  8 In 3.18-3.29
2 Pr 0.0000 0.0000 0.5000  8 In 3.30-3.37
3 Pr 0.3295 0.6705 0.5000  8 In 3.40-3.45, 2 Pr 3.75
4 Pr 0.3383 0.6617 0.0000  8 In 3.23-3.45
5 Pr 0.6617 0.3383 0.0000  8 In 3.23-3.45
6 Pr 0.6705 0.3295 0.5000  8 In 3.40-3.45, 2 Pr 3.75
7 In 0.1591 0.8409 0.2363  1 Li 3.18, 7 Pr 3.27-3.45
8 In 0.1591 0.8409 0.7637  1 Li 3.18, 7 Pr 3.27-3.45
9 In 0.5000 0.5000 0.2410  6 Pr 3.23-3.43, 2 Li 3.29
10 In 0.5000 0.5000 0.7590  6 Pr 3.23-3.43, 2 Li 3.29
11 In 0.8409 0.1591 0.2363  1 Li 3.18, 7 Pr 3.27-3.45
12 In 0.8409 0.1591 0.7637  1 Li 3.18, 7 Pr 3.27-3.45

***

First-principles (PBE) data for an optimized crystal structure of Li4PrIn, as listed in the Alexandria database.

Properties
SG	No. 216
DFT formation energy	-0.153	eV per atom
total magnetization	0.00	Bohr magnetons per cell
energy	-16.09	eV/cell

a b c (Å): 5.6105 5.6105 5.6105
angles (deg): 60.00 60.00 60.00
With the nearest neighbours (Å) after each atom.
Positions (direct):
1 Li 0.3765 0.3765 0.3765  6 Li 2.77-2.84
2 Li 0.3765 0.3765 0.8706  6 Li 2.77-2.84
3 Li 0.3765 0.8706 0.3765  6 Li 2.77-2.84
4 Li 0.8706 0.3765 0.3765  6 Li 2.77-2.84
5 Pr 0.0000 0.0000 0.0000  12 Li 3.29, 4 In 3.44
6 In 0.7500 0.7500 0.7500  12 Li 3.29, 4 Pr 3.44